VASP calculation (GGA-PBE) on a relaxed structure of HfTlCuAg.

As for the calculated volume: 18.73 A^3/atom. For the total DFT energy (no corrections), the calculation gives -72.31 eV per cell. The value obtained for the total magnetization is 0.01 μB/cell.

The space group is F-43m (No. 216) and the conventional cell measures 6.6922, 6.6922 and 6.6922 Å, with angles of 90.00, 90.00 and 90.00 degrees. Symmetry generates all atoms from Hf at (0.0000, 0.0000, 0.0000), Tl at (0.2500, 0.2500, 0.2500), Cu at (0.0000, 0.0000, 0.5000) and Ag at (0.2500, 0.2500, 0.7500).